# IrRuPb3, relaxed, DFT PBE
data_IrRuPb3
_chemical_formula_sum 'Ir1 Ru1 Pb3'
_symmetry_space_group_name_H-M 'P 1'
_symmetry_Int_Tables_number 1
_cell_length_a 5.161
_cell_length_b 5.161
_cell_length_c 5.161
_cell_angle_alpha 90.00
_cell_angle_beta 90.00
_cell_angle_gamma 90.00
loop_
_symmetry_equiv_pos_as_xyz
'x,y,z'
loop_
_atom_site_label
_atom_site_fract_x
_atom_site_fract_y
_atom_site_fract_z
Pb1 0.000 0.000 0.500
Pb2 0.500 0.000 0.000
Pb3 0.000 0.500 0.000
Ru1 0.000 0.000 0.000
Ir1 0.500 0.500 0.500
# Energy above the most stable polymorph in this dataset   0 meV/atom
# DFT total energy   -24.47 eV/cell
# Formation energy   0.959 eV per atom